1.
A plane-wave DFT calculation with GGA-PBE was carried out for TlBiPbBr6 after structural relaxation.

SG	No. 163

abc: 7.6786 7.6786 14.4183
angles: 90.00 90.00 120.00
With the nearest neighbours (Å) after each atom.
Element x y z (fractional)
Br: 0.0170 0.6450 0.8678  1 Bi 2.90, 1 Pb 3.07
Bi: 0.3333 0.6667 0.7500  6 Br 2.90
Pb: 0.6667 0.3333 0.7500  6 Br 3.07
Br: 0.3720 0.3550 0.3678  1 Bi 2.90, 1 Pb 3.07
Pb: 0.3333 0.6667 0.2500  6 Br 3.07
Bi: 0.6667 0.3333 0.2500  6 Br 2.90
Br: 0.6450 0.0170 0.3678  1 Bi 2.90, 1 Pb 3.07
Br: 0.3550 0.3720 0.8678  1 Bi 2.90, 1 Pb 3.07
Br: 0.9830 0.6280 0.3678  1 Bi 2.90, 1 Pb 3.07
Br: 0.0170 0.3720 0.6322  1 Bi 2.90, 1 Pb 3.07
Br: 0.9830 0.3550 0.1322  1 Bi 2.90, 1 Pb 3.07
Br: 0.6280 0.6450 0.6322  1 Bi 2.90, 1 Pb 3.07
Br: 0.6280 0.9830 0.8678  1 Bi 2.90, 1 Pb 3.07
Tl: 0.0000 0.0000 0.0000  6 Br 3.38
Br: 0.3720 0.0170 0.1322  1 Bi 2.90, 1 Pb 3.07
Br: 0.6450 0.6280 0.1322  1 Bi 2.90, 1 Pb 3.07
Tl: 0.0000 0.0000 0.5000  6 Br 3.38
Br: 0.3550 0.9830 0.6322  1 Bi 2.90, 1 Pb 3.07

=====

2.
A plane-wave DFT calculation with GGA-PBE was carried out for Zn2BiPbBr after structural relaxation.

SG	No. 123

abc: 5.1477 5.8946 5.1477
angles: 90.00 90.00 90.00
With the nearest neighbours (Å) after each atom.
Element x y z (fractional)
Zn: 0.0000 0.0000 0.5000  2 Br 2.57
Bi: 0.5000 0.5000 0.5000  4 Pb 3.64, 8 Zn 3.91
Pb: 0.0000 0.5000 0.0000  2 Br 2.95
Br: 0.0000 0.0000 0.0000  4 Zn 2.57
Zn: 0.5000 0.0000 0.0000  2 Br 2.57

=====

3.
A plane-wave DFT calculation with GGA-PBE was carried out for BiPd3Br after structural relaxation.

SG	No. 221

abc: 5.1516 5.1516 5.1516
angles: 90.00 90.00 90.00
With the nearest neighbours (Å) after each atom.
Element x y z (fractional)
Pd: 0.0000 0.5000 0.0000  2 Bi 2.58
Bi: 0.0000 0.0000 0.0000  6 Pd 2.58
Br: 0.5000 0.5000 0.5000  12 Pd 3.64
Pd: 0.0000 0.0000 0.5000  2 Bi 2.58
Pd: 0.5000 0.0000 0.0000  2 Bi 2.58

=====

4.
A plane-wave DFT calculation with GGA-PBE was carried out for Bi2Pd2Br after structural relaxation.

SG	No. 139

abc: 3.9625 3.9625 8.6601
angles: 76.77 76.77 90.00
With the nearest neighbours (Å) after each atom.
Element x y z (fractional)
Br: 0.0000 0.0000 0.0000  8 Bi 3.53
Bi: 0.6306 0.6306 0.7388  4 Pd 2.78
Pd: 0.2500 0.7500 0.5000  4 Bi 2.78, 4 Pd 2.80
Pd: 0.7500 0.2500 0.5000  4 Bi 2.78, 4 Pd 2.80
Bi: 0.3694 0.3694 0.2612  4 Pd 2.78

=====

5.
A plane-wave DFT calculation with GGA-PBE was carried out for Bi2Pd2Br after structural relaxation.

SG	No. 127

abc: 8.0652 8.0652 3.5909
angles: 90.00 90.00 90.00
With the nearest neighbours (Å) after each atom.
Element x y z (fractional)
Bi: 0.3496 0.1504 0.5000  6 Pd 2.91-3.06
Bi: 0.6504 0.8496 0.5000  6 Pd 2.91-3.06
Pd: 0.8673 0.6327 0.0000  6 Bi 2.91-3.06, 1 Pd 3.03, 2 Br 3.15
Pd: 0.1327 0.3673 0.0000  6 Bi 2.91-3.06, 1 Pd 3.03, 2 Br 3.15
Br: 0.5000 0.5000 0.0000  4 Pd 3.15
Bi: 0.8496 0.3496 0.5000  6 Pd 2.91-3.06
Pd: 0.3673 0.8673 0.0000  6 Bi 2.91-3.06, 1 Pd 3.03, 2 Br 3.15
Bi: 0.1504 0.6504 0.5000  6 Pd 2.91-3.06
Pd: 0.6327 0.1327 0.0000  6 Bi 2.91-3.06, 1 Pd 3.03, 2 Br 3.15
Br: 0.0000 0.0000 0.0000  4 Pd 3.15

=====

6.
A plane-wave DFT calculation with GGA-PBE was carried out for Bi2Pd2Br after structural relaxation.

SG	No. 127

abc: 8.3221 8.3221 3.4294
angles: 90.00 90.00 90.00
With the nearest neighbours (Å) after each atom.
Element x y z (fractional)
Bi: 0.1661 0.3339 0.0000  6 Pd 2.96-3.05, 2 Br 3.10
Br: 0.5000 0.5000 0.0000  4 Bi 3.10, 2 Br 3.43
Pd: 0.6199 0.8801 0.5000  1 Pd 2.82, 6 Bi 2.96-3.05
Bi: 0.3339 0.8339 0.0000  6 Pd 2.96-3.05, 2 Br 3.10
Pd: 0.1199 0.6199 0.5000  1 Pd 2.82, 6 Bi 2.96-3.05
Bi: 0.8339 0.6661 0.0000  6 Pd 2.96-3.05, 2 Br 3.10
Pd: 0.3801 0.1199 0.5000  1 Pd 2.82, 6 Bi 2.96-3.05
Br: 0.0000 0.0000 0.0000  4 Bi 3.10, 2 Br 3.43
Pd: 0.8801 0.3801 0.5000  1 Pd 2.82, 6 Bi 2.96-3.05
Bi: 0.6661 0.1661 0.0000  6 Pd 2.96-3.05, 2 Br 3.10

=====

The records above yield VASP energy values of -27.54; -9.60; -18.02; -21.25; -20.69; -20.48 eV per formula unit, respectively.
The records above yield formation energy (no corrections) values of -0.838; 0.442; 0.623; -0.286; -0.174; -0.131 eV per atom, respectively.
The records above yield total magnetization values of 0.00; 0.00; 0.00; 0.00; 0.00; 0.00 μB/cell, respectively.